No. 1
This record from OQMD via LeMat-Bulk describes an optimized crystal structure of TmZr2Al3FeCu2. The functional is GGA-PBE.

a b c (Å): 4.1030 6.5550 6.5550
angles (deg): 119.32 90.00 90.00
Last column: nearest neighbours and their distance in Å.
Atoms (fractional coordinates):
Zr (0.0000, 0.0014, 0.5967)  1 Fe 2.61, 4 Cu 2.85-2.87
Zr (0.0000, 0.5967, 0.0014)  1 Fe 2.61, 4 Cu 2.85-2.87
Al (0.5000, 0.2361, 0.9962)  2 Cu 2.50-2.62, 2 Fe 2.60, 2 Al 2.70-2.71
Al (0.5000, 0.7644, 0.7644)  2 Fe 2.53, 2 Cu 2.59, 2 Al 2.70
Al (0.5000, 0.9962, 0.2361)  2 Cu 2.50-2.62, 2 Fe 2.60, 2 Al 2.70-2.71
Fe (0.0000, 0.9877, 0.9877)  6 Al 2.53-2.60, 2 Zr 2.61, 1 Tm 2.82
Cu (0.5000, 0.6713, 0.3328)  3 Al 2.50-2.62
Cu (0.5000, 0.3328, 0.6713)  3 Al 2.50-2.62
Tm (0.0000, 0.4134, 0.4134)  1 Fe 2.82, 4 Cu 2.87, 6 Al 3.10-3.15

For the total energy, the calculation gives -5.789 eV/atom. The size of the total moment comes out at 0.02 μB/cell.

***

No. 2
This record from OQMD via LeMat-Bulk describes an optimized crystal structure of Al2ZnFeCu4. The functional is GGA-PBE.

a b c (Å): 7.1586 7.1586 7.1586
angles (deg): 131.98 131.98 70.27
Last column: nearest neighbours and their distance in Å.
Atoms (fractional coordinates):
Cu (0.1261, 0.6250, 0.0011)  4 Al 2.50-2.56, 2 Zn 2.52, 2 Fe 2.53
Cu (0.6239, 0.1250, 0.9989)  4 Al 2.50-2.56, 2 Zn 2.52, 2 Fe 2.53
Cu (0.8750, 0.8761, 0.5011)  4 Al 2.50-2.56, 2 Zn 2.52, 2 Fe 2.53
Cu (0.3750, 0.3739, 0.4989)  4 Al 2.50-2.56, 2 Zn 2.52, 2 Fe 2.53
Cu (0.8750, 0.3739, 0.9989)  4 Al 2.50-2.56, 2 Zn 2.52, 2 Fe 2.53
Cu (0.6239, 0.6250, 0.4989)  4 Al 2.50-2.56, 2 Zn 2.52, 2 Fe 2.53
Cu (0.1261, 0.1250, 0.5011)  4 Al 2.50-2.56, 2 Zn 2.52, 2 Fe 2.53
Cu (0.3750, 0.8761, 0.0011)  4 Al 2.50-2.56, 2 Zn 2.52, 2 Fe 2.53
Al (0.2448, 0.7448, 0.5000)  8 Cu 2.50-2.56
Al (0.7552, 0.2552, 0.5000)  8 Cu 2.50-2.56
Al (0.5052, 0.5052, 0.0000)  8 Cu 2.50-2.56
Al (0.9948, 0.9948, 0.0000)  8 Cu 2.50-2.56
Zn (0.5000, 0.0000, 0.5000)  8 Cu 2.52
Zn (0.2500, 0.2500, 0.0000)  8 Cu 2.52
Fe (0.7500, 0.7500, 0.0000)  8 Cu 2.53
Fe (0.0000, 0.5000, 0.5000)  8 Cu 2.53

The value obtained for the energy relative to the lowest polymorph listed for this composition is 21 meV/atom. The size of the total moment comes out at 4.91 μB/cell.

***

No. 3
This record from OQMD via LeMat-Bulk describes an optimized crystal structure of Al2ZnFeCu4. The functional is GGA-PBE.

a b c (Å): 7.1486 7.1486 7.1486
angles (deg): 131.85 131.85 70.47
Last column: nearest neighbours and their distance in Å.
Atoms (fractional coordinates):
Al (0.0056, 0.0056, 0.0000)  8 Cu 2.50-2.56
Al (0.2556, 0.7556, 0.5000)  8 Cu 2.50-2.56
Al (0.7444, 0.2444, 0.5000)  8 Cu 2.50-2.56
Al (0.4944, 0.4944, 0.0000)  8 Cu 2.50-2.56
Cu (0.6268, 0.1250, 0.0018)  4 Al 2.50-2.56, 2 Zn 2.52, 2 Fe 2.53
Cu (0.8750, 0.8732, 0.4982)  4 Al 2.50-2.56, 2 Zn 2.52, 2 Fe 2.53
Cu (0.1232, 0.1250, 0.4982)  4 Al 2.50-2.56, 2 Zn 2.52, 2 Fe 2.53
Cu (0.1232, 0.6250, 0.9982)  4 Al 2.50-2.56, 2 Zn 2.52, 2 Fe 2.53
Cu (0.3750, 0.8732, 0.9982)  4 Al 2.50-2.56, 2 Zn 2.52, 2 Fe 2.53
Cu (0.6268, 0.6250, 0.5018)  4 Al 2.50-2.56, 2 Zn 2.52, 2 Fe 2.53
Cu (0.3750, 0.3768, 0.5018)  4 Al 2.50-2.56, 2 Zn 2.52, 2 Fe 2.53
Cu (0.8750, 0.3768, 0.0018)  4 Al 2.50-2.56, 2 Zn 2.52, 2 Fe 2.53
Zn (0.7500, 0.7500, 0.0000)  8 Cu 2.52
Zn (0.0000, 0.5000, 0.5000)  8 Cu 2.52
Fe (0.2500, 0.2500, 0.0000)  8 Cu 2.53
Fe (0.5000, 0.0000, 0.5000)  8 Cu 2.53

The value obtained for the energy relative to the lowest polymorph listed for this composition is 21 meV/atom. The size of the total moment comes out at 4.91 μB/cell.

***

Q: Which V values were calculated for the entries above? A: 154 199 199, in Å³/cell.